Version i
# MnTc2I

A geometry-optimized MnTc2I structure (PBE, Alexandria).

Cell: 5.465 5.465 11.610 Å, 90.00 90.00 90.00°
Space group I-42d (No. 122)
Asymmetric unit:
Mn 0.000 0.000 0.000 x4
Tc 0.185 0.250 0.125 x8
I 0.000 0.000 0.500 x4

Results
**Magnetic moment**: 0.000 μB/atom
**V**: 346.79 Å³ per cell

---

Version ii
# MnTc2I

A geometry-optimized MnTc2I structure (PBE, Alexandria).

Cell: 6.327 6.327 6.327 Å, 90.00 90.00 90.00°
Space group Fm-3m (No. 225)
Asymmetric unit:
Mn 0.000 0.000 0.000 x4
Tc 0.250 0.250 0.250 x8
I 0.000 0.000 0.500 x4

Results
**Magnetic moment**: 0.872 μB/atom
**V**: 253.25 Å³ per cell

---

Which of them is least stable? Easy: version i.

---

Version i
# Mn2TeI

A geometry-optimized Mn2TeI structure (PBE, Alexandria).

Cell: 5.769 5.769 11.521 Å, 90.00 90.00 90.00°
Space group I-42d (No. 122)
Asymmetric unit:
Mn 0.250 0.250 0.125 x8
Te 0.000 0.000 0.000 x4
I 0.000 0.000 0.500 x4

Results
**Magnetic moment**: 0.238 μB/atom
**V**: 383.39 Å³ per cell

---

Version ii
# Mn2TeI

A geometry-optimized Mn2TeI structure (PBE, Alexandria).

Cell: 6.494 6.494 6.494 Å, 90.00 90.00 90.00°
Space group Fm-3m (No. 225)
Asymmetric unit:
Mn 0.250 0.250 0.250 x8
Te 0.000 0.000 0.000 x4
I 0.000 0.000 0.500 x4

Results
**Magnetic moment**: 0.000 μB/atom
**V**: 273.82 Å³ per cell

---

Which of them is least stable? Easy: version ii.

---

Version i
# MnTe3I

A geometry-optimized MnTe3I structure (PBE, Alexandria).

Cell: 5.120 5.120 5.120 Å, 90.00 90.00 90.00°
Space group Pm-3m (No. 221)
Asymmetric unit:
Mn 0.000 0.000 0.000 x1
Te 0.000 0.000 0.500 x3
I 0.500 0.500 0.500 x1

Results
**Magnetic moment**: 0.000 μB/atom
**V**: 134.22 Å³ per cell

---

Version ii
# MnTe3I

A geometry-optimized MnTe3I structure (PBE, Alexandria).

Cell: 5.798 5.798 5.798 Å, 90.00 90.00 90.00°
Space group Pm-3m (No. 221)
Asymmetric unit:
Mn 0.000 0.000 0.000 x1
Te 0.000 0.500 0.500 x3
I 0.500 0.500 0.500 x1

Results
**Magnetic moment**: 1.013 μB/atom
**V**: 194.92 Å³ per cell

---

Which of them is least stable? Easy: version ii.

---

Version i
# MnZnTe2I

A geometry-optimized MnZnTe2I structure (PBE, Alexandria).

Cell: 4.951 4.951 5.790 Å, 90.00 90.00 90.00°
Space group P4/mmm (No. 123)
Asymmetric unit:
Mn 0.000 0.000 0.000 x1
Zn 0.500 0.500 0.500 x1
Te 0.000 0.500 0.000 x2
I 0.000 0.000 0.500 x1

Results
**Magnetic moment**: 0.000 μB/atom
**V**: 141.94 Å³ per cell

---

Version ii
# MnZnTe2I

A geometry-optimized MnZnTe2I structure (PBE, Alexandria).

Cell: 5.275 5.275 5.688 Å, 90.00 90.00 90.00°
Space group P4/mmm (No. 123)
Asymmetric unit:
Mn 0.000 0.000 0.000 x1
Zn 0.500 0.500 0.500 x1
Te 0.000 0.500 0.500 x2
I 0.500 0.500 0.000 x1

Results
**Magnetic moment**: 0.988 μB/atom
**V**: 158.24 Å³ per cell

---

Which of them is least stable? Easy: version ii.

---

Version i
# MnZnTeI2

A geometry-optimized MnZnTeI2 structure (PBE, Alexandria).

Cell: 5.471 5.471 5.550 Å, 90.00 90.00 90.00°
Space group P4/mmm (No. 123)
Asymmetric unit:
Mn 0.000 0.000 0.000 x1
Zn 0.500 0.500 0.500 x1
Te 0.500 0.500 0.000 x1
I 0.000 0.500 0.500 x2

Results
**Magnetic moment**: 1.018 μB/atom
**V**: 166.15 Å³ per cell

---

Version ii
# MnZnTeI2

A geometry-optimized MnZnTeI2 structure (PBE, Alexandria).

Cell: 5.585 5.585 4.858 Å, 90.00 90.00 90.00°
Space group P4/mmm (No. 123)
Asymmetric unit:
Mn 0.000 0.000 0.000 x1
Zn 0.500 0.500 0.500 x1
Te 0.000 0.000 0.500 x1
I 0.000 0.500 0.000 x2

Results
**Magnetic moment**: 0.039 μB/atom
**V**: 151.52 Å³ per cell

---

Which of them is least stable? Easy: version ii.

---

Version i
# MnTlI4

A geometry-optimized MnTlI4 structure (PBE, Alexandria).

Cell: 16.216 7.021 8.176 Å, 90.00 101.40 90.00°
Space group C2/c (No. 15)
Asymmetric unit:
Mn 0.250 0.250 0.000 x4
Tl 0.000 0.169 0.250 x4
I 0.096 0.391 0.939 x8
I 0.190 0.048 0.652 x8

Results
**Magnetic moment**: 0.661 μB/atom
**V**: 912.52 Å³ per cell

---

Version ii
# MnTlI4

A geometry-optimized MnTlI4 structure (PBE, Alexandria).

Cell: 11.765 11.765 8.645 Å, 90.00 90.00 90.00°
Space group I4_1/amd (No. 141, origin choice 2)
Asymmetric unit:
Mn 0.000 0.250 0.375 x4
Tl 0.000 0.250 0.875 x4
I 0.000 0.071 0.199 x16

Results
**Magnetic moment**: 0.667 μB/atom
**V**: 1196.60 Å³ per cell

---

Which of them is least stable? Easy: version ii.